[1]
A plane-wave DFT calculation with PBEsol was carried out for an optimized crystal structure of Ca2LaAl2.

Cell lengths 4.6580, 4.6580, 13.6243 Å; angles 90.00, 90.00, 90.00 degrees
Space group I4/mmm (No. 139)
Unique sites:
1 Ca 0.0000 0.5000 0.2500 [4 per cell]
2 La 0.0000 0.0000 0.0000 [2 per cell]
3 Al 0.0000 0.0000 0.4079 [4 per cell]

Values from the calculation:
crystal system: tetragonal
energy: -3.64 eV per atom
total magnetic moment: 0.82 μB/f.u.
formation energy: -0.0829 eV/atom

[2]
A plane-wave DFT calculation with PBEsol was carried out for an optimized crystal structure of CaLaAl2.

Cell lengths 3.5115, 3.5115, 30.1268 Å; angles 90.00, 90.00, 120.00 degrees
Space group R-3m (No. 166, hexagonal axes)
Unique sites:
1 Ca 0.0000 0.0000 0.0000 [3 per cell]
2 La 0.0000 0.0000 0.5000 [3 per cell]
3 Al 0.0000 0.0000 0.2515 [6 per cell]

Values from the calculation:
crystal system: trigonal
energy: -3.89 eV per atom
total magnetic moment: 0.00 μB/f.u.
formation energy: 0.0250 eV/atom

[3]
A plane-wave DFT calculation with PBEsol was carried out for an optimized crystal structure of CaLaAl3O7.

Cell lengths 5.1426, 7.7908, 7.7836 Å; angles 90.00, 90.12, 90.00 degrees
Space group P2_1 (No. 4)
Unique sites:
1 Ca 0.0241 0.0000 0.4202 [2 per cell]
2 La 0.0025 0.6785 0.0960 [2 per cell]
3 Al 0.4579 0.4836 0.8856 [2 per cell]
4 Al 0.4655 0.1959 0.5991 [2 per cell]
5 Al 0.4983 0.3386 0.2412 [2 per cell]
6 O 0.1960 0.6943 0.3864 [2 per cell]
7 O 0.2037 0.9748 0.1050 [2 per cell]
8 O 0.2915 0.4158 0.0759 [2 per cell]
9 O 0.3041 0.6836 0.8582 [2 per cell]
10 O 0.3091 0.0065 0.6747 [2 per cell]
11 O 0.3157 0.3526 0.7293 [2 per cell]
12 O 0.3182 0.2312 0.3988 [2 per cell]

Values from the calculation:
crystal system: monoclinic
energy: -7.88 eV per atom
total magnetic moment: 0.00 μB/f.u.
ΔE_f (raw): -3174 meV/atom

[4]
A plane-wave DFT calculation with PBEsol was carried out for an optimized crystal structure of CaLaAl3O7.

Cell lengths 10.8883, 11.1404, 5.1345 Å; angles 90.00, 90.00, 90.00 degrees
Space group Cmm2 (No. 35)
Unique sites:
1 Ca 0.1585 0.0000 0.0000 [4 per cell]
2 La 0.0000 0.3356 0.0251 [4 per cell]
3 Al 0.0000 0.1402 0.4784 [4 per cell]
4 Al 0.1475 0.5000 0.5571 [4 per cell]
5 Al 0.2500 0.2500 0.5270 [4 per cell]
6 O 0.0000 0.0000 0.3278 [2 per cell]
7 O 0.0000 0.1411 0.8174 [4 per cell]
8 O 0.0000 0.5000 0.6976 [2 per cell]
9 O 0.1235 0.2165 0.3267 [8 per cell]
10 O 0.1400 0.5000 0.2176 [4 per cell]
11 O 0.2130 0.3756 0.7202 [8 per cell]

Values from the calculation:
crystal system: orthorhombic
energy: -7.88 eV per atom
total magnetic moment: 0.00 μB/f.u.
ΔE_f (raw): -3170 meV/atom

[5]
A plane-wave DFT calculation with PBEsol was carried out for an optimized crystal structure of Ca2LaAlS.

Cell lengths 5.2052, 5.2052, 5.5121 Å; angles 90.00, 90.00, 90.00 degrees
Space group P4/mmm (No. 123)
Unique sites:
1 Ca 0.0000 0.5000 0.0000 [2 per cell]
2 La 0.0000 0.0000 0.5000 [1 per cell]
3 Al 0.5000 0.5000 0.5000 [1 per cell]
4 S 0.5000 0.5000 0.0000 [1 per cell]

Values from the calculation:
crystal system: tetragonal
energy: -4.01 eV per atom
total magnetic moment: 0.00 μB/f.u.
ΔE_f (raw): -389 meV/atom

[6]
A plane-wave DFT calculation with PBEsol was carried out for an optimized crystal structure of LiCaAl.

Cell lengths 4.9394, 4.9394, 3.3073 Å; angles 90.00, 90.00, 120.00 degrees
Space group P-6m2 (No. 187)
Unique sites:
1 Li 0.0000 0.0000 0.0000 [1 per cell]
2 Ca 0.6667 0.3333 0.5000 [1 per cell]
3 Al 0.3333 0.6667 0.0000 [1 per cell]

Values from the calculation:
crystal system: hexagonal
energy: -2.82 eV per atom
total magnetic moment: 0.00 μB/f.u.
formation energy: -0.0879 eV/atom

[7]
A plane-wave DFT calculation with PBEsol was carried out for an optimized crystal structure of LiCa2Al.

Cell lengths 7.3499, 7.3499, 7.3499 Å; angles 90.00, 90.00, 90.00 degrees
Space group F-43m (No. 216)
Unique sites:
1 Li 0.0000 0.0000 0.0000 [4 per cell]
2 Ca 0.0000 0.0000 0.5000 [4 per cell]
3 Ca 0.2500 0.2500 0.7500 [4 per cell]
4 Al 0.2500 0.2500 0.2500 [4 per cell]

Values from the calculation:
crystal system: cubic
energy: -2.64 eV per atom
total magnetic moment: 0.00 μB/f.u.
formation energy: -0.0572 eV/atom

[8]
A plane-wave DFT calculation with PBEsol was carried out for an optimized crystal structure of LiCaAl.

Cell lengths 3.5517, 3.5517, 10.8739 Å; angles 90.00, 90.00, 90.00 degrees
Space group I4mm (No. 107)
Unique sites:
1 Li 0.0000 0.0000 0.0000 [2 per cell]
2 Ca 0.0000 0.0000 0.2964 [2 per cell]
3 Al 0.0000 0.0000 0.6116 [2 per cell]

Values from the calculation:
crystal system: tetragonal
energy: -2.82 eV per atom
total magnetic moment: 0.00 μB/f.u.
formation energy: -0.0879 eV/atom

[9]
A plane-wave DFT calculation with PBEsol was carried out for an optimized crystal structure of LiCa2Al.

Cell lengths 11.8314, 3.6026, 5.4181 Å; angles 90.00, 111.36, 90.00 degrees
Space group Cm (No. 8)
Unique sites:
1 Li 0.0000 0.0000 0.0000 [2 per cell]
2 Ca 0.0714 0.5000 0.5710 [2 per cell]
3 Ca 0.2780 0.5000 0.2389 [2 per cell]
4 Al 0.3150 0.0000 0.7647 [2 per cell]

Values from the calculation:
crystal system: monoclinic
energy: -2.66 eV per atom
total magnetic moment: 0.00 μB/f.u.
formation energy: -0.0771 eV/atom

[10]
A plane-wave DFT calculation with PBEsol was carried out for an optimized crystal structure of Li4CaAl.

Cell lengths 7.7627, 7.7627, 7.7627 Å; angles 90.00, 90.00, 90.00 degrees
Space group F-43m (No. 216)
Unique sites:
1 Li 0.1226 0.1226 0.3774 [16 per cell]
2 Ca 0.0000 0.0000 0.0000 [4 per cell]
3 Al 0.2500 0.2500 0.7500 [4 per cell]

Values from the calculation:
crystal system: cubic
energy: -2.40 eV per atom
total magnetic moment: 0.00 μB/f.u.
formation energy: -0.0527 eV/atom

[11]
A plane-wave DFT calculation with PBEsol was carried out for an optimized crystal structure of LiCa2Al.

Cell lengths 3.7214, 3.7214, 7.9000 Å; angles 90.00, 90.00, 90.00 degrees
Space group P4/mmm (No. 123)
Unique sites:
1 Li 0.0000 0.0000 0.0000 [1 per cell]
2 Ca 0.5000 0.5000 0.2700 [2 per cell]
3 Al 0.0000 0.0000 0.5000 [1 per cell]

Values from the calculation:
crystal system: tetragonal
energy: -2.69 eV per atom
total magnetic moment: 0.00 μB/f.u.
formation energy: -0.1105 eV/atom

[12]
A plane-wave DFT calculation with PBEsol was carried out for an optimized crystal structure of LiCa2Al.

Cell lengths 3.6185, 3.6185, 31.5847 Å; angles 90.00, 90.00, 120.00 degrees
Space group R-3m (No. 166, hexagonal axes)
Unique sites:
1 Li 0.0000 0.0000 0.0000 [3 per cell]
2 Ca 0.0000 0.0000 0.2416 [6 per cell]
3 Al 0.0000 0.0000 0.5000 [3 per cell]

Values from the calculation:
crystal system: trigonal
energy: -2.51 eV per atom
total magnetic moment: 0.00 μB/f.u.
formation energy: 0.0676 eV/atom

[13]
A plane-wave DFT calculation with PBEsol was carried out for an optimized crystal structure of LiCaAl4.

Cell lengths 7.7892, 7.7892, 7.7892 Å; angles 90.00, 90.00, 90.00 degrees
Space group F-43m (No. 216)
Unique sites:
1 Li 0.0000 0.0000 0.0000 [4 per cell]
2 Ca 0.2500 0.2500 0.7500 [4 per cell]
3 Al 0.1249 0.1249 0.3751 [16 per cell]

Values from the calculation:
crystal system: cubic
energy: -3.58 eV per atom
total magnetic moment: 0.00 μB/f.u.
formation energy: -0.1669 eV/atom

[14]
A plane-wave DFT calculation with PBEsol was carried out for an optimized crystal structure of LiCa2Al2.

Cell lengths 8.5095, 8.5095, 3.6629 Å; angles 90.00, 90.00, 90.00 degrees
Space group P4/mbm (No. 127)
Unique sites:
1 Li 0.0000 0.0000 0.0000 [2 per cell]
2 Ca 0.1826 0.3174 0.5000 [4 per cell]
3 Al 0.1112 0.6112 0.0000 [4 per cell]

Values from the calculation:
crystal system: tetragonal
energy: -2.97 eV per atom
total magnetic moment: 0.00 μB/f.u.
formation energy: -0.0871 eV/atom

[15]
A plane-wave DFT calculation with PBEsol was carried out for an optimized crystal structure of LiCaAl.

Cell lengths 6.7317, 6.7317, 6.7317 Å; angles 90.00, 90.00, 90.00 degrees
Space group F-43m (No. 216)
Unique sites:
1 Li 0.0000 0.0000 0.0000 [4 per cell]
2 Ca 0.2500 0.2500 0.2500 [4 per cell]
3 Al 0.2500 0.2500 0.7500 [4 per cell]

Values from the calculation:
crystal system: cubic
energy: -2.55 eV per atom
total magnetic moment: 0.00 μB/f.u.
formation energy: 0.1849 eV/atom

[16]
A plane-wave DFT calculation with PBEsol was carried out for an optimized crystal structure of LiCaAl.

Cell lengths 7.1506, 7.1506, 7.1506 Å; angles 90.00, 90.00, 90.00 degrees
Space group F-43m (No. 216)
Unique sites:
1 Li 0.0000 0.0000 0.0000 [4 per cell]
2 Ca 0.2500 0.2500 0.7500 [4 per cell]
3 Al 0.0000 0.0000 0.5000 [4 per cell]

Values from the calculation:
crystal system: cubic
energy: -2.24 eV per atom
total magnetic moment: 0.00 μB/f.u.
formation energy: 0.4906 eV/atom

[17]
A plane-wave DFT calculation with PBEsol was carried out for an optimized crystal structure of Ca2MgAl.

Cell lengths 3.5795, 3.5795, 8.8510 Å; angles 90.00, 90.00, 90.00 degrees
Space group P4mm (No. 99)
Unique sites:
1 Ca 0.0000 0.0000 0.0000 [1 per cell]
2 Ca 0.5000 0.5000 0.3450 [1 per cell]
3 Mg 0.0000 0.0000 0.6019 [1 per cell]
4 Al 0.5000 0.5000 0.7712 [1 per cell]

Values from the calculation:
crystal system: tetragonal
energy: -2.57 eV per atom
total magnetic moment: 0.00 μB/f.u.
formation energy: -0.0516 eV/atom

[18]
A plane-wave DFT calculation with PBEsol was carried out for an optimized crystal structure of CaMgAl2.

Cell lengths 3.2860, 3.2860, 29.1379 Å; angles 90.00, 90.00, 120.00 degrees
Space group R-3m (No. 166, hexagonal axes)
Unique sites:
1 Ca 0.0000 0.0000 0.0000 [3 per cell]
2 Mg 0.0000 0.0000 0.5000 [3 per cell]
3 Al 0.0000 0.0000 0.2456 [6 per cell]

Values from the calculation:
crystal system: trigonal
energy: -2.89 eV per atom
total magnetic moment: 0.00 μB/f.u.
formation energy: 0.1200 eV/atom

[19]
A plane-wave DFT calculation with PBEsol was carried out for an optimized crystal structure of Ca2MgAl.

Cell lengths 12.2868, 3.5683, 5.4914 Å; angles 90.00, 113.00, 90.00 degrees
Space group Cm (No. 8)
Unique sites:
1 Ca 0.0000 0.0000 0.0000 [2 per cell]
2 Ca 0.2049 0.0000 0.6813 [2 per cell]
3 Mg 0.4338 0.0000 0.4400 [2 per cell]
4 Al 0.2371 0.5000 0.2044 [2 per cell]

Values from the calculation:
crystal system: monoclinic
energy: -2.61 eV per atom
total magnetic moment: 0.00 μB/f.u.
formation energy: -0.0928 eV/atom

[20]
A plane-wave DFT calculation with PBEsol was carried out for an optimized crystal structure of CaMgAl2.

Cell lengths 3.4758, 3.4758, 7.1681 Å; angles 90.00, 90.00, 90.00 degrees
Space group P4/mmm (No. 123)
Unique sites:
1 Ca 0.0000 0.0000 0.0000 [1 per cell]
2 Mg 0.0000 0.0000 0.5000 [1 per cell]
3 Al 0.5000 0.5000 0.2913 [2 per cell]

Values from the calculation:
crystal system: tetragonal
energy: -3.12 eV per atom
total magnetic moment: 0.00 μB/f.u.
formation energy: -0.1112 eV/atom

[21]
A plane-wave DFT calculation with PBEsol was carried out for an optimized crystal structure of Ca2MgAl.

Cell lengths 3.7352, 5.3758, 5.3771 Å; angles 90.00, 90.00, 90.00 degrees
Space group Pmm2 (No. 25)
Unique sites:
1 Ca 0.0000 0.0000 0.0000 [1 per cell]
2 Ca 0.0000 0.5000 0.4933 [1 per cell]
3 Mg 0.5000 0.5000 0.9905 [1 per cell]
4 Al 0.5000 0.0000 0.5015 [1 per cell]

Values from the calculation:
crystal system: orthorhombic
energy: -2.67 eV per atom
total magnetic moment: 0.00 μB/f.u.
formation energy: -0.1508 eV/atom

[22]
A plane-wave DFT calculation with PBEsol was carried out for an optimized crystal structure of CaMgAl2.

Cell lengths 4.5240, 4.5240, 8.4249 Å; angles 90.00, 90.00, 90.00 degrees
Space group I-4m2 (No. 119)
Unique sites:
1 Ca 0.0000 0.0000 0.0000 [2 per cell]
2 Mg 0.0000 0.5000 0.2500 [2 per cell]
3 Al 0.0000 0.0000 0.5000 [2 per cell]
4 Al 0.0000 0.5000 0.7500 [2 per cell]

Values from the calculation:
crystal system: tetragonal
energy: -3.05 eV per atom
total magnetic moment: 0.00 μB/f.u.
formation energy: -0.0434 eV/atom

[23]
A plane-wave DFT calculation with PBEsol was carried out for an optimized crystal structure of CaMgAl2.

Cell lengths 10.8884, 3.1677, 5.3779 Å; angles 90.00, 106.29, 90.00 degrees
Space group Cm (No. 8)
Unique sites:
1 Ca 0.0000 0.0000 0.0000 [2 per cell]
2 Mg 0.2099 0.0000 0.6494 [2 per cell]
3 Al 0.2582 0.5000 0.1922 [2 per cell]
4 Al 0.4523 0.0000 0.4808 [2 per cell]

Values from the calculation:
crystal system: monoclinic
energy: -3.05 eV per atom
total magnetic moment: 0.00 μB/f.u.
formation energy: -0.0383 eV/atom

[24]
A plane-wave DFT calculation with PBEsol was carried out for an optimized crystal structure of Ca2MgAl.

Cell lengths 3.6387, 3.6387, 8.2673 Å; angles 90.00, 90.00, 90.00 degrees
Space group P4/mmm (No. 123)
Unique sites:
1 Ca 0.0000 0.0000 0.2274 [2 per cell]
2 Mg 0.5000 0.5000 0.5000 [1 per cell]
3 Al 0.5000 0.5000 0.0000 [1 per cell]

Values from the calculation:
crystal system: tetragonal
energy: -2.67 eV per atom
total magnetic moment: 0.00 μB/f.u.
formation energy: -0.1471 eV/atom

[25]
A plane-wave DFT calculation with PBEsol was carried out for an optimized crystal structure of Ca2MgAlTe.

Cell lengths 5.6952, 5.6952, 5.0284 Å; angles 90.00, 90.00, 90.00 degrees
Space group P4/mmm (No. 123)
Unique sites:
1 Ca 0.0000 0.5000 0.0000 [2 per cell]
2 Mg 0.0000 0.0000 0.5000 [1 per cell]
3 Al 0.0000 0.0000 0.0000 [1 per cell]
4 Te 0.5000 0.5000 0.5000 [1 per cell]

Values from the calculation:
crystal system: tetragonal
energy: -2.90 eV per atom
total magnetic moment: 0.00 μB/f.u.
ΔE_f (raw): -181 meV/atom

[26]
A plane-wave DFT calculation with PBEsol was carried out for an optimized crystal structure of CaMn2Al.

Cell lengths 2.8516, 2.8516, 7.5768 Å; angles 90.00, 90.00, 90.00 degrees
Space group P4mm (No. 99)
Unique sites:
1 Ca 0.0000 0.0000 0.0000 [1 per cell]
2 Mn 0.0000 0.0000 0.4423 [1 per cell]
3 Mn 0.5000 0.5000 0.3023 [1 per cell]
4 Al 0.5000 0.5000 0.6651 [1 per cell]

Values from the calculation:
crystal system: tetragonal
energy: -6.29 eV per atom
total magnetic moment: 0.00 μB/f.u.
formation energy: 0.1435 eV/atom

[27]
A plane-wave DFT calculation with PBEsol was carried out for an optimized crystal structure of CaMn3Al9.

Cell lengths 4.9399, 12.6015, 6.6861 Å; angles 90.00, 111.10, 90.00 degrees
Space group C2/m (No. 12)
Unique sites:
1 Ca 0.0000 0.0000 0.0000 [2 per cell]
2 Mn 0.0000 0.5000 0.5000 [2 per cell]
3 Mn 0.2500 0.2500 0.0000 [4 per cell]
4 Al 0.0000 0.0000 0.5000 [2 per cell]
5 Al 0.0929 0.3878 0.2128 [8 per cell]
6 Al 0.1732 0.1762 0.3335 [8 per cell]

Values from the calculation:
crystal system: monoclinic
energy: -5.50 eV per atom
total magnetic moment: 0.00 μB/f.u.
formation energy: -0.2473 eV/atom